PmGa6Pt4: relaxed, PBE.

Mass density (g/cm3): 11.57
Calculated volume (A^3/atom): 17.525
DFT total energy (eV per atom): -5.051
Magnetization (Bohr magnetons per cell): 0.00
Energy of formation from the pure elements (eV/atom): -0.772

Unit cell a=7.4196 b=7.4196 c=4.0434 alpha=90.00 beta=90.00 gamma=120.00
Fractional positions:
Pm1 0.0000 0.0000 0.0000
Ga1 0.0664 0.5332 0.0000
Ga2 0.3921 0.1961 0.5000
Ga3 0.4668 0.5332 0.0000
Ga4 0.4668 0.9336 0.0000
Ga5 0.8039 0.1961 0.5000
Ga6 0.8039 0.6079 0.5000
Pt1 0.2010 0.4021 0.5000
Pt2 0.2010 0.7990 0.5000
Pt3 0.5979 0.7990 0.5000
Pt4 0.6667 0.3333 0.0000